# InAs2SeF, optimized geometry, DFT PBE
data_InAs2SeF
_space_group_name_H-M_alt 'P 1'
_space_group_IT_number 1
_space_group_name_Hall 'P 1'
_cell_length_a 4.408
_cell_length_b 4.408
_cell_length_c 5.623
_cell_angle_alpha 90.00
_cell_angle_beta 90.00
_cell_angle_gamma 90.00
loop_
_atom_site_label
_atom_site_type_symbol
_atom_site_fract_x
_atom_site_fract_y
_atom_site_fract_z
_atom_site_occupancy
Se1 Se 0.000 0.000 0.500 1
In1 In 0.500 0.500 0.500 1
As1 As 0.500 0.000 0.000 1
As2 As 0.000 0.500 0.000 1
F1 F 0.000 0.000 0.000 1
# volume = 21.8 Å³ per atom
# symmetry = No. 123
# uncorrected formation energy = 0.702 eV per formula unit
# polymorph energy (0 for the lowest one) = 0.00 eV per formula unit
# calculated total energy = -16.691 eV per cell